Record 1
Entry from the Alexandria database: crystalline Pa3CuSi3 at its relaxed geometry (GGA-PBE).

* DFT total energy: -7.414 eV per atom
* calculated volume: 19.79 Å³/atom
* formation energy without anion corrections: -0.43 eV per atom
* symmetry: No. 12
* crystal system: monoclinic

The structure in POSCAR format:
```
Pa3CuSi3
1.0
5.187 -2.095 0.000
5.187 2.095 0.000
-4.092 0.000 12.749
Pa Cu Si
6 2 6
Cartesian
-1.234 0.000 4.859
-2.732 0.000 11.715
1.679 0.000 2.842
4.602 0.000 9.907
9.014 0.000 1.034
7.516 0.000 7.891
0.216 0.000 7.685
6.065 0.000 5.064
1.951 0.000 5.775
0.191 0.000 11.789
1.636 0.000 9.785
4.645 0.000 2.965
6.090 0.000 0.960
4.331 0.000 6.974
```

***

Record 2
Entry from the Alexandria database: crystalline Pa3Cu4Si2 at its relaxed geometry (GGA-PBE).

* DFT total energy: -6.453 eV per atom
* calculated volume: 17.80 Å³/atom
* formation energy without anion corrections: -0.26 eV per atom
* symmetry: No. 12
* crystal system: monoclinic

The structure in POSCAR format:
```
Pa3Cu4Si2
1.0
5.010 -2.171 0.000
5.010 2.171 0.000
-3.501 0.000 7.367
Pa Cu Si
3 4 2
Cartesian
0.000 0.000 0.000
2.255 0.000 2.421
4.264 0.000 4.945
-0.647 0.000 3.025
-0.440 0.000 7.029
6.960 0.000 0.337
7.167 0.000 4.341
1.304 0.000 5.274
5.216 0.000 2.093
```